The following is a DFT calculation (PBE) of a relaxed structure of InSbIrO6. Values from VASP.

Geometry as Quantum ESPRESSO input:
```
&SYSTEM
  ibrav = 0, nat = 18, ntyp = 4
/
ATOMIC_SPECIES
O 16.00 O.upf
Sb 121.76 Sb.upf
In 114.82 In.upf
Ir 192.22 Ir.upf
CELL_PARAMETERS angstrom
-3.769 -3.440 1.438
4.071 0.982 3.250
-4.554 6.548 3.727
ATOMIC_POSITIONS crystal
O 0.980 0.324 0.122
O 0.345 0.020 0.122
O 0.324 0.980 0.622
O 0.020 0.345 0.622
O 0.980 0.655 0.378
O 0.345 0.324 0.378
O 0.020 0.676 0.878
O 0.676 0.020 0.378
O 0.676 0.655 0.122
O 0.655 0.676 0.622
O 0.324 0.345 0.878
O 0.655 0.980 0.878
Sb 0.000 0.000 0.500
Sb 0.000 0.000 0.000
In 0.667 0.333 0.750
In 0.333 0.667 0.250
Ir 0.667 0.333 0.250
Ir 0.333 0.667 0.750
```

Output
Calculated volume in Å³/cell: 214.3
Density of states at the Fermi level in states/eV/f.u.: 5.015
Energy in eV per atom: -6.12
Formation energy from raw total energies in kcal/mol of atoms: -24.6
Space group: P-31c

---

The following is a DFT calculation (PBE) of a relaxed structure of SiRuN2. Values from VASP.

Geometry as Quantum ESPRESSO input:
```
&SYSTEM
  ibrav = 0, nat = 8, ntyp = 3
/
ATOMIC_SPECIES
Si 28.09 Si.upf
Ru 101.07 Ru.upf
N 14.01 N.upf
CELL_PARAMETERS angstrom
4.530 0.000 0.000
0.000 4.530 0.000
2.265 2.265 4.125
ATOMIC_POSITIONS crystal
Si 0.250 0.750 0.500
Si 0.500 0.500 0.000
Ru 0.000 0.000 0.000
Ru 0.750 0.250 0.500
N 0.875 0.812 0.750
N 0.562 0.125 0.250
N 0.375 0.438 0.750
N 0.188 0.625 0.250
```

Output
Calculated volume in Å³/cell: 84.7
Density of states at the Fermi level in states/eV/f.u.: 0.528
Energy in eV per atom: -8.06
Formation energy from raw total energies in kcal/mol of atoms: -5.1
Space group: I-42d

---

The following is a DFT calculation (PBE) of a relaxed structure of Sc2FeTe. Values from VASP.

Geometry as Quantum ESPRESSO input:
```
&SYSTEM
  ibrav = 0, nat = 4, ntyp = 3
/
ATOMIC_SPECIES
Sc 44.96 Sc.upf
Fe 55.84 Fe.upf
Te 127.60 Te.upf
CELL_PARAMETERS angstrom
-3.438 2.997 0.737
-1.688 -0.905 -4.199
-2.067 -2.720 1.417
ATOMIC_POSITIONS crystal
Sc 0.000 0.000 0.000
Sc 0.500 0.500 0.000
Fe 0.000 0.500 0.500
Te 0.500 0.000 0.500
```

Output
Calculated volume in Å³/cell: 78.9
Density of states at the Fermi level in states/eV/f.u.: 2.703
Energy in eV per atom: -6.43
Formation energy from raw total energies in kcal/mol of atoms: -8.4
Space group: P4/mmm

---

The following is a DFT calculation (PBE) of a relaxed structure of NaLa3Bi. Values from VASP.

Geometry as Quantum ESPRESSO input:
```
&SYSTEM
  ibrav = 0, nat = 5, ntyp = 3
/
ATOMIC_SPECIES
La 138.91 La.upf
Na 22.99 Na.upf
Bi 208.98 Bi.upf
CELL_PARAMETERS angstrom
-2.400 0.354 5.747
-5.733 -0.719 -2.350
0.529 -6.186 0.602
ATOMIC_POSITIONS crystal
La 0.000 0.000 0.500
La 0.000 0.500 0.000
La 0.500 0.000 0.000
Na 0.500 0.500 0.500
Bi 0.000 0.000 0.000
```

Output
Calculated volume in Å³/cell: 242.7
Density of states at the Fermi level in states/eV/f.u.: 10.460
ΔE to the lowest computed polymorph in eV per atom: 0.000
Energy in eV per atom: -3.88
Space group: Pm-3m
ΔE_f in eV/atom: 0.1200

---

The following is a DFT calculation (PBE) of a relaxed structure of Li3Er2PaSe6. Values from VASP.

Geometry as Quantum ESPRESSO input:
```
&SYSTEM
  ibrav = 0, nat = 12, ntyp = 4
/
ATOMIC_SPECIES
Er 167.26 Er.upf
Se 78.96 Se.upf
Li 6.94 Li.upf
Pa 231.04 Pa.upf
CELL_PARAMETERS angstrom
6.977 -0.001 0.001
-3.488 6.043 0.001
-1.163 -2.015 6.533
ATOMIC_POSITIONS crystal
Er 0.333 0.667 0.000
Er 0.667 0.333 0.000
Se 0.250 0.250 0.744
Se 0.750 0.750 0.256
Se 0.086 0.421 0.257
Se 0.914 0.579 0.743
Se 0.579 0.914 0.743
Se 0.421 0.086 0.257
Li 0.500 0.500 0.500
Li 0.168 0.832 0.500
Li 0.832 0.168 0.500
Pa 0.000 0.000 0.000
```

Output
Calculated volume in Å³/cell: 275.4
Density of states at the Fermi level in states/eV/f.u.: 6.761
Energy in eV per atom: -5.30
Formation energy from raw total energies in kcal/mol of atoms: -35.2
Space group: C2/m

---

The following is a DFT calculation (PBE) of a relaxed structure of CsAlH8Rh2. Values from VASP.

Geometry as Quantum ESPRESSO input:
```
&SYSTEM
  ibrav = 0, nat = 12, ntyp = 4
/
ATOMIC_SPECIES
H 1.01 H.upf
Rh 102.91 Rh.upf
Cs 132.91 Cs.upf
Al 26.98 Al.upf
CELL_PARAMETERS angstrom
-0.337 4.271 1.793
-4.004 1.422 1.876
0.715 -0.691 7.798
ATOMIC_POSITIONS crystal
H 0.935 0.623 0.149
H 0.293 0.935 0.149
H 0.707 0.065 0.851
H 0.231 0.231 0.307
H 0.623 0.293 0.149
H 0.065 0.377 0.851
H 0.377 0.707 0.851
H 0.769 0.769 0.693
Rh 0.697 0.697 0.910
Rh 0.303 0.303 0.090
Cs 0.500 0.500 0.500
Al 0.000 0.000 0.000
```

Output
Calculated volume in Å³/cell: 138.0
Density of states at the Fermi level in states/eV/f.u.: 1.058
Energy in eV per atom: -3.95
Space group: R-3

---

The following is a DFT calculation (PBE) of a relaxed structure of Pm3Nd2Tm8. Values from VASP.

Geometry as Quantum ESPRESSO input:
```
&SYSTEM
  ibrav = 0, nat = 13, ntyp = 3
/
ATOMIC_SPECIES
Pm 145.00 Pm.upf
Tm 168.93 Tm.upf
Nd 144.24 Nd.upf
CELL_PARAMETERS angstrom
-5.749 -0.496 3.793
-6.357 -6.674 -2.189
-1.293 -7.710 5.351
ATOMIC_POSITIONS crystal
Pm 0.000 0.823 0.177
Pm 0.000 0.177 0.823
Pm 0.500 0.000 0.000
Tm 0.564 0.563 0.201
Tm 0.564 0.201 0.563
Tm 0.924 0.421 0.421
Tm 0.436 0.799 0.437
Tm 0.076 0.579 0.579
Tm 0.436 0.437 0.799
Tm 0.010 0.193 0.193
Tm 0.990 0.807 0.807
Nd 0.521 0.779 0.779
Nd 0.479 0.221 0.221
```

Output
Calculated volume in Å³/cell: 437.3
Density of states at the Fermi level in states/eV/f.u.: 17.055
ΔE to the lowest computed polymorph in eV per atom: 0.000
Energy in eV per atom: -4.34
Space group: C2/m
ΔE_f in eV/atom: 0.2368

---

The following is a DFT calculation (PBE) of a relaxed structure of La2Ta2C3. Values from VASP.

Geometry as Quantum ESPRESSO input:
```
&SYSTEM
  ibrav = 0, nat = 7, ntyp = 3
/
ATOMIC_SPECIES
La 138.91 La.upf
C 12.01 C.upf
Ta 180.95 Ta.upf
CELL_PARAMETERS angstrom
3.365 0.000 -0.958
-0.641 5.628 -2.254
0.056 -0.184 6.589
ATOMIC_POSITIONS crystal
La 0.396 0.188 0.792
La 0.604 0.812 0.208
C 0.745 0.283 0.489
C 0.000 0.000 0.000
C 0.255 0.717 0.511
Ta 0.156 0.320 0.312
Ta 0.844 0.680 0.688
```

Output
Calculated volume in Å³/cell: 123.6
Density of states at the Fermi level in states/eV/f.u.: 5.184
Energy in eV per atom: -9.04
Space group: C2/m
ΔE_f in eV/atom: -0.2912